Record 1
{"formula": "ZrF4", "functional": "GGA-PBEsol", "state": "relaxed", "lattice_angstrom": [[5.573, 0.000, -0.006], [0.000, 5.598, 0.000], [-2.195, 0.000, 7.635]], "species": ["Zr", "Zr", "Zr", "Zr", "F", "F", "F", "F", "F", "F", "F", "F", "F", "F", "F", "F", "F", "F", "F", "F"], "frac_coords": [[0.789, 0.666, 0.330], [0.211, 0.166, 0.170], [0.211, 0.334, 0.670], [0.789, 0.834, 0.830], [0.142, 0.657, 0.521], [0.858, 0.157, 0.979], [0.858, 0.343, 0.479], [0.142, 0.843, 0.021], [0.004, 0.459, 0.208], [0.996, 0.959, 0.292], [0.996, 0.541, 0.792], [0.004, 0.041, 0.708], [0.482, 0.457, 0.234], [0.518, 0.957, 0.266], [0.518, 0.543, 0.766], [0.482, 0.043, 0.734], [0.686, 0.759, 0.548], [0.314, 0.259, 0.952], [0.314, 0.241, 0.452], [0.686, 0.741, 0.048]], "formation_energy_uncorrected_kcal_per_mol_atoms": -86.7, "dft_energy_ev_per_atom": -7.12}

***

Record 2
{"formula": "LaGdCl2O2", "functional": "GGA-PBEsol", "state": "relaxed", "lattice_angstrom": [[3.988, 0.000, 0.000], [0.000, 3.988, 0.000], [0.000, 0.000, 6.745]], "species": ["La", "Gd", "Cl", "Cl", "O", "O"], "frac_coords": [[0.000, 0.000, 0.177], [0.500, 0.500, 0.828], [0.000, 0.000, 0.632], [0.500, 0.500, 0.376], [0.500, 0.000, 0.993], [0.000, 0.500, 0.993]], "formation_energy_uncorrected_kcal_per_mol_atoms": -72.5, "dft_energy_ev_per_atom": -8.86}

***

Record 3
{"formula": "IrOsRu2", "functional": "GGA-PBEsol", "state": "relaxed", "lattice_angstrom": [[3.239, 0.000, 0.000], [0.000, 3.239, 0.000], [0.000, 0.000, 5.379]], "species": ["Ir", "Os", "Ru", "Ru"], "frac_coords": [[0.500, 0.500, 0.000], [0.500, 0.500, 0.500], [0.000, 0.000, 0.752], [0.000, 0.000, 0.248]], "de_polymorph_mev_per_atom": 517, "ef_ev_per_atom": 0.553, "dft_energy_ev_per_atom": -10.04}

***

What did the second record say?
{"formula": "LaGdCl2O2", "functional": "GGA-PBEsol", "state": "relaxed", "lattice_angstrom": [[3.988, 0.000, 0.000], [0.000, 3.988, 0.000], [0.000, 0.000, 6.745]], "species": ["La", "Gd", "Cl", "Cl", "O", "O"], "frac_coords": [[0.000, 0.000, 0.177], [0.500, 0.500, 0.828], [0.000, 0.000, 0.632], [0.500, 0.500, 0.376], [0.500, 0.000, 0.993], [0.000, 0.500, 0.993]], "formation_energy_uncorrected_kcal_per_mol_atoms": -72.5, "dft_energy_ev_per_atom": -8.86}